(1)
Pr4RhPb2 (PBE, relaxed); relative energy among the computed polymorphs = 0.589 eV/f.u.; energy of formation from the pure elements = -0.40 eV per atom; DOS(E_F) = 4.10 states/eV/f.u.
1.0
-2.635 2.635 8.662
2.635 -2.635 8.662
2.635 2.635 -8.662
Pr Rh Pb
4 1 2
direct
0.000 0.500 0.500 Pr
0.177 0.177 0.000 Pr
0.500 0.000 0.500 Pr
0.823 0.823 0.000 Pr
0.000 0.000 0.000 Rh
0.363 0.363 0.000 Pb
0.637 0.637 0.000 Pb

---

(2)
Pr4RhPb2 (PBE, relaxed); relative energy among the computed polymorphs = 0.000 eV/f.u.; energy of formation from the pure elements = -0.48 eV per atom; DOS(E_F) = 4.93 states/eV/f.u.
1.0
6.893 0.000 0.000
0.000 6.933 0.000
-2.301 0.000 9.302
Pr Rh Pb
8 2 4
direct
0.184 0.250 0.105 Pr
0.255 0.750 0.383 Pr
0.303 0.005 0.753 Pr
0.303 0.495 0.753 Pr
0.697 0.505 0.247 Pr
0.697 0.995 0.247 Pr
0.745 0.250 0.617 Pr
0.816 0.750 0.895 Pr
0.463 0.250 0.370 Rh
0.537 0.750 0.630 Rh
0.101 0.250 0.440 Pb
0.306 0.750 0.049 Pb
0.694 0.250 0.951 Pb
0.899 0.750 0.560 Pb

---

(3)
Pr5Rh2Pb (PBE, relaxed); energy of formation from the pure elements = -0.54 eV per atom; DOS(E_F) = 8.79 states/eV/f.u.
1.0
-4.045 4.045 7.049
4.045 -4.045 7.049
4.045 4.045 -7.049
Pr Rh Pb
10 4 2
direct
0.000 0.000 0.000 Pr
0.025 0.525 0.819 Pr
0.206 0.025 0.500 Pr
0.294 0.794 0.819 Pr
0.475 0.294 0.500 Pr
0.500 0.500 0.000 Pr
0.525 0.706 0.500 Pr
0.706 0.206 0.181 Pr
0.794 0.975 0.500 Pr
0.975 0.475 0.181 Pr
0.139 0.361 0.500 Rh
0.361 0.861 0.221 Rh
0.639 0.139 0.779 Rh
0.861 0.639 0.500 Rh
0.250 0.250 0.000 Pb
0.750 0.750 0.000 Pb

---

(4)
PrRh3Pb5 (PBE, relaxed); energy of formation from the pure elements = -0.14 eV per atom; DOS(E_F) = 4.51 states/eV/f.u.
1.0
5.958 -4.730 0.000
5.958 4.730 0.000
-5.119 0.000 8.813
Pr Rh Pb
2 6 10
direct
0.094 0.094 0.301 Pr
0.906 0.906 0.699 Pr
0.000 0.000 0.000 Rh
0.000 0.000 0.500 Rh
0.307 0.307 0.825 Rh
0.355 0.355 0.351 Rh
0.645 0.645 0.649 Rh
0.693 0.693 0.175 Rh
0.059 0.616 0.345 Pb
0.246 0.246 0.044 Pb
0.299 0.701 0.000 Pb
0.384 0.941 0.655 Pb
0.416 0.416 0.648 Pb
0.584 0.584 0.352 Pb
0.616 0.059 0.345 Pb
0.701 0.299 0.000 Pb
0.754 0.754 0.956 Pb
0.941 0.384 0.655 Pb

---

(5)
PrRh2Pb (PBE, relaxed); energy of formation from the pure elements = -0.50 eV per atom; DOS(E_F) = 3.15 states/eV/f.u.
1.0
5.614 0.000 0.000
0.000 4.420 0.000
0.000 0.000 7.168
Pr Rh Pb
2 4 2
direct
0.250 0.000 0.241 Pr
0.750 0.000 0.759 Pr
0.000 0.500 0.500 Rh
0.250 0.000 0.634 Rh
0.500 0.500 0.500 Rh
0.750 0.000 0.366 Rh
0.250 0.500 0.858 Pb
0.750 0.500 0.142 Pb

---

(6)
Pr3Rh4Pb2 (PBE, relaxed); energy of formation from the pure elements = -0.53 eV per atom; DOS(E_F) = 4.86 states/eV/f.u.
1.0
5.080 -2.285 0.000
5.080 2.285 0.000
-0.755 0.000 9.046
Pr Rh Pb
3 4 2
direct
0.000 0.000 0.000 Pr
0.372 0.372 0.614 Pr
0.628 0.628 0.386 Pr
0.081 0.081 0.626 Rh
0.284 0.284 0.913 Rh
0.716 0.716 0.087 Rh
0.919 0.919 0.374 Rh
0.323 0.323 0.219 Pb
0.677 0.677 0.781 Pb

---

(7)
Pr2RhPb (PBE, relaxed); relative energy among the computed polymorphs = 0.647 eV/f.u.; energy of formation from the pure elements = -0.41 eV per atom; DOS(E_F) = 3.75 states/eV/f.u.
1.0
0.000 3.788 3.788
3.788 0.000 3.788
3.788 3.788 0.000
Pr Rh Pb
2 1 1
direct
0.250 0.250 0.250 Pr
0.750 0.750 0.750 Pr
0.000 0.000 0.000 Rh
0.500 0.500 0.500 Pb

---

(8)
Pr3RhPb (PBE, relaxed); relative energy among the computed polymorphs = 0.549 eV/f.u.; energy of formation from the pure elements = -0.45 eV per atom; DOS(E_F) = 3.87 states/eV/f.u.
1.0
5.124 -7.167 0.000
5.124 7.167 0.000
0.000 0.000 4.376
Pr Rh Pb
6 2 2
direct
0.175 0.825 0.000 Pr
0.180 0.423 0.500 Pr
0.423 0.180 0.500 Pr
0.577 0.820 0.500 Pr
0.820 0.577 0.500 Pr
0.825 0.175 0.000 Pr
0.000 0.500 0.000 Rh
0.500 0.000 0.000 Rh
0.000 0.000 0.500 Pb
0.500 0.500 0.000 Pb